# 1
# Na2Hg2Sb

Na2Hg2Sb after structural relaxation (GGA-PBE, the Alexandria database).

Lattice parameters (Å, degrees): 8.5944 8.5944 3.6705 90.00 90.00 90.00
With the nearest neighbours (Å) after each atom.
Element x y z (fractional)
Hg 0.8650 0.3650 0.5000  6 Na 3.08-3.15, 1 Hg 3.28
Hg 0.6350 0.8650 0.5000  6 Na 3.08-3.15, 1 Hg 3.28
Na 0.8381 0.6619 0.0000  6 Hg 3.08-3.15, 2 Sb 3.22
Hg 0.1350 0.6350 0.5000  6 Na 3.08-3.15, 1 Hg 3.28
Na 0.1619 0.3381 0.0000  6 Hg 3.08-3.15, 2 Sb 3.22
Hg 0.3650 0.1350 0.5000  6 Na 3.08-3.15, 1 Hg 3.28
Na 0.6619 0.1619 0.0000  6 Hg 3.08-3.15, 2 Sb 3.22
Sb 0.5000 0.5000 0.0000  4 Na 3.22
Na 0.3381 0.8381 0.0000  6 Hg 3.08-3.15, 2 Sb 3.22
Sb 0.0000 0.0000 0.0000  4 Na 3.22

Values from the calculation:
Formation energy from raw total energies: -0.142 eV/atom
Size of the total moment: 0.00 μB per formula unit
ρ: 6.969 g/cm³
Distance to the lowest polymorph of the same formula: 101.8 meV per atom

# 2
# AgSnPb6

AgSnPb6 after structural relaxation (GGA-PBE, the Alexandria database).

Lattice parameters (Å, degrees): 6.9684 6.9057 6.9687 60.30 74.15 56.55
With the nearest neighbours (Å) after each atom.
Element x y z (fractional)
Pb 0.2466 0.9810 0.5461  1 Ag 3.19, 1 Sn 3.21, 7 Pb 3.24-3.55
Ag 0.0000 0.0000 0.0000  6 Pb 2.96-3.19, 2 Sn 3.29
Pb 0.2437 0.2401 0.0000  1 Ag 2.96, 1 Sn 3.15, 3 Pb 3.27-3.31
Sn 0.5000 0.5000 0.0000  6 Pb 3.15-3.21, 2 Ag 3.29
Pb 0.7534 0.0190 0.4539  1 Ag 3.19, 1 Sn 3.21, 7 Pb 3.24-3.55
Pb 0.2466 0.5271 0.4539  1 Ag 3.19, 1 Sn 3.21, 7 Pb 3.24-3.55
Pb 0.7534 0.4729 0.5461  1 Ag 3.19, 1 Sn 3.21, 7 Pb 3.24-3.55
Pb 0.7563 0.7599 0.0000  1 Ag 2.96, 1 Sn 3.15, 3 Pb 3.27-3.31

Values from the calculation:
Formation energy: 0.140 eV per atom
Size of the total moment: 0.00 μB per formula unit
ρ: 10.043 g/cm³

# 3
# Hf4MgN

Hf4MgN after structural relaxation (GGA-PBE, the Alexandria database).

Lattice parameters (Å, degrees): 5.0444 6.5313 8.7434 114.07 90.00 90.00
With the nearest neighbours (Å) after each atom.
Element x y z (fractional)
Hf 0.7389 0.1141 0.2163  1 N 2.17
Hf 0.2611 0.8859 0.7837  1 N 2.17
Hf 0.7528 0.6872 0.8876  2 N 2.25
Mg 0.5000 0.0000 0.5000  6 Hf 3.02-3.34
Hf 0.7472 0.1872 0.8876  2 N 2.25
Hf 0.2472 0.3128 0.1124  2 N 2.25
Hf 0.2389 0.3859 0.7837  1 N 2.17
Mg 0.0000 0.5000 0.5000  6 Hf 3.02-3.34
Hf 0.2528 0.8128 0.1124  2 N 2.25
N 0.0000 0.0000 0.0000  6 Hf 2.17-2.25
Hf 0.7611 0.6141 0.2163  1 N 2.17
N 0.5000 0.5000 0.0000  6 Hf 2.17-2.25

Values from the calculation:
Formation energy from raw total energies: -0.270 eV/atom
Size of the total moment: 0.00 μB per formula unit
ρ: 9.499 g/cm³

# 4
# TbPr12In6

TbPr12In6 after structural relaxation (GGA-PBE, the Alexandria database).

Lattice parameters (Å, degrees): 8.4444 8.4444 8.4444 89.19 89.19 89.19
With the nearest neighbours (Å) after each atom.
Element x y z (fractional)
Pr 0.0711 0.1255 0.3834  3 Pr 3.11-3.43, 1 In 3.39, 1 Tb 3.48
Tb 0.0000 0.0000 0.0000  6 In 3.28, 6 Pr 3.48
In 0.1206 0.7440 0.2699  1 Tb 3.28, 7 Pr 3.38-3.51, 2 In 3.48
Pr 0.6166 0.9289 0.8745  3 Pr 3.11-3.43, 1 In 3.39, 1 Tb 3.48
In 0.2560 0.7301 0.8794  1 Tb 3.28, 7 Pr 3.38-3.51, 2 In 3.48
Pr 0.8745 0.6166 0.9289  3 Pr 3.11-3.43, 1 In 3.39, 1 Tb 3.48
In 0.8794 0.2560 0.7301  1 Tb 3.28, 7 Pr 3.38-3.51, 2 In 3.48
Pr 0.4340 0.8093 0.5264  4 In 3.38-3.50, 4 Pr 3.44-3.53
Pr 0.1255 0.3834 0.0711  3 Pr 3.11-3.43, 1 In 3.39, 1 Tb 3.48
Pr 0.3834 0.0711 0.1255  3 Pr 3.11-3.43, 1 In 3.39, 1 Tb 3.48
Pr 0.4736 0.5660 0.1907  4 In 3.38-3.50, 4 Pr 3.44-3.53
Pr 0.8093 0.5264 0.4340  4 In 3.38-3.50, 4 Pr 3.44-3.53
Pr 0.5660 0.1907 0.4736  4 In 3.38-3.50, 4 Pr 3.44-3.53
Pr 0.1907 0.4736 0.5660  4 In 3.38-3.50, 4 Pr 3.44-3.53
Pr 0.9289 0.8745 0.6166  3 Pr 3.11-3.43, 1 In 3.39, 1 Tb 3.48
In 0.2699 0.1206 0.7440  1 Tb 3.28, 7 Pr 3.38-3.51, 2 In 3.48
In 0.7440 0.2699 0.1206  1 Tb 3.28, 7 Pr 3.38-3.51, 2 In 3.48
In 0.7301 0.8794 0.2560  1 Tb 3.28, 7 Pr 3.38-3.51, 2 In 3.48
Pr 0.5264 0.4340 0.8093  4 In 3.38-3.50, 4 Pr 3.44-3.53

Values from the calculation:
Formation energy: -0.241 eV per atom
Size of the total moment: 0.00 μB per formula unit
ρ: 7.003 g/cm³

# 5
# AcZnGaCu

AcZnGaCu after structural relaxation (GGA-PBE, the Alexandria database).

Lattice parameters (Å, degrees): 4.9795 4.9795 4.9795 60.00 60.00 60.00
With the nearest neighbours (Å) after each atom.
Element x y z (fractional)
Cu 0.2500 0.2500 0.2500  4 Ac 3.05, 4 Ga 3.05
Ac 0.0000 0.0000 0.0000  4 Cu 3.05, 4 Zn 3.05
Ga 0.5000 0.5000 0.5000  4 Zn 3.05, 4 Cu 3.05
Zn 0.7500 0.7500 0.7500  4 Ga 3.05, 4 Ac 3.05

Values from the calculation:
Formation energy: -0.182 eV per atom
Size of the total moment: 0.00 μB per formula unit
ρ: 8.096 g/cm³

# 6
# LiPrNd2Te4

LiPrNd2Te4 after structural relaxation (GGA-PBE, the Alexandria database).

Lattice parameters (Å, degrees): 4.4593 7.7555 7.7542 70.69 90.00 90.00
With the nearest neighbours (Å) after each atom.
Element x y z (fractional)
Nd 0.0000 0.0000 0.0000  6 Te 3.15
Pr 0.0000 0.5000 0.5000  6 Te 3.17
Te 0.0000 0.2599 0.2385  2 Li 3.10, 3 Nd 3.15-3.23, 1 Pr 3.17
Te 0.5000 0.2549 0.7581  1 Li 3.08, 3 Nd 3.15-3.25, 2 Pr 3.17
Nd 0.5000 0.0000 0.5000  6 Te 3.23-3.25
Li 0.5000 0.5000 0.0000  6 Te 3.08-3.10
Te 0.5000 0.7451 0.2419  1 Li 3.08, 3 Nd 3.15-3.25, 2 Pr 3.17
Te 0.0000 0.7401 0.7615  2 Li 3.10, 3 Nd 3.15-3.23, 1 Pr 3.17

Values from the calculation:
Formation energy from raw total energies: -1.380 eV/atom
Size of the total moment: 0.00 μB per formula unit
ρ: 6.211 g/cm³